Record 1
The following is a GGA-PBE calculation of a relaxed K2ZnMo crystal, from the Alexandria database.

The structure in extended XYZ format:
```
4
Lattice="-1.196 4.655 5.429 -5.113 -2.896 -2.188 -0.782 -1.194 3.448" Properties=species:S:1:pos:R:3 pbc="T T T"
K 0.000 0.000 0.000
K -0.989 1.730 4.438
Mo -2.948 -2.045 0.630
Zn -3.155 0.879 1.621
```

Crystal system: monoclinic
Symmetry: No. 12

=====

Record 2
The following is a GGA-PBE calculation of a relaxed KZnMo2 crystal, from the Alexandria database.

The structure in extended XYZ format:
```
4
Lattice="-3.252 2.686 4.367 -2.365 -3.880 4.026 4.834 2.644 -2.549" Properties=species:S:1:pos:R:3 pbc="T T T"
K -0.653 2.358 3.067
Mo -0.322 -0.068 0.481
Mo -0.038 -0.889 2.640
Zn -2.578 -0.548 3.852
```

Crystal system: orthorhombic
Symmetry: No. 44

=====

Record 3
The following is a GGA-PBE calculation of a relaxed K2ZnMo crystal, from the Alexandria database.

The structure in extended XYZ format:
```
4
Lattice="6.578 0.080 0.000 3.348 5.663 0.000 -4.963 -2.872 3.225" Properties=species:S:1:pos:R:3 pbc="T T T"
K 0.000 0.000 0.000
K 4.963 2.872 0.000
Mo 1.674 2.831 1.612
Zn 3.289 0.040 1.612
```

Crystal system: tetragonal
Symmetry: No. 139

=====

Record 4
The following is a GGA-PBE calculation of a relaxed KZnMo2 crystal, from the Alexandria database.

The structure in extended XYZ format:
```
4
Lattice="-0.933 -4.259 -0.742 2.123 -0.744 1.598 -3.859 -0.304 6.594" Properties=species:S:1:pos:R:3 pbc="T T T"
K -1.768 -2.915 5.773
Mo 1.473 -0.687 2.091
Mo -0.218 -0.580 3.603
Zn -0.900 -2.391 1.677
```

Crystal system: monoclinic
Symmetry: No. 10

=====

Record 5
The following is a GGA-PBE calculation of a relaxed K2ZnMo crystal, from the Alexandria database.

The structure in extended XYZ format:
```
4
Lattice="-0.858 -0.534 2.709 2.696 -0.772 0.702 2.443 11.251 2.992" Properties=species:S:1:pos:R:3 pbc="T T T"
K 0.006 0.026 0.007
K 1.216 5.599 1.489
Mo 1.530 2.160 2.453
Zn 2.751 7.785 3.949
```

Crystal system: tetragonal
Symmetry: No. 123

=====

Record 6
The following is a GGA-PBE calculation of a relaxed K2ZnMo crystal, from the Alexandria database.

The structure in extended XYZ format:
```
4
Lattice="-0.363 -1.478 -4.298 2.373 -3.739 1.085 -4.876 -2.705 1.343" Properties=species:S:1:pos:R:3 pbc="T T T"
K 0.000 0.000 0.000
K 1.005 -2.609 -1.606
Mo -2.620 -2.091 -1.478
Zn -1.252 -3.222 1.214
```

Crystal system: tetragonal
Symmetry: No. 123

=====

| no. | DFT formation energy (eV per atom) |
| --- | --- |
| 1 | 1.21 |
| 2 | 1.04 |
| 3 | 1.22 |
| 4 | 0.86 |
| 5 | 1.08 |
| 6 | 1.22 |